Computed, not measured: a geometry-optimized Tl2Au structure at the PBE level of DFT.

abc: 4.7347 4.7347 28.1135
angles: 90.00 90.00 90.00
Space group I4_1/amd (No. 141, origin choice 2)
Unique sites:
Tl  0.0000  0.2500  0.1245
Tl  0.0000  0.2500  0.7886
Au  0.0000  0.2500  0.2852

- total moment (μB/f.u.) = 0.0
- ΔH_f (0 K) (eV/atom) = 0.05
- DOS(E_F) (states/eV/f.u.) = 1.1

---

Computed, not measured: a geometry-optimized Tl3Au structure at the PBE level of DFT.

abc: 3.8367 3.8367 9.1885
angles: 90.00 90.00 120.00
Space group P-6m2 (No. 187)
Unique sites:
Tl  0.0000  0.0000  0.0000
Tl  0.6667  0.3333  0.2852
Au  0.0000  0.0000  0.5000

- total moment (μB/f.u.) = 0.0
- ΔH_f (0 K) (eV/atom) = 0.03
- DOS(E_F) (states/eV/f.u.) = 1.7

---

Computed, not measured: a geometry-optimized Tl3Au structure at the PBE level of DFT.

abc: 6.7799 8.2664 3.9568
angles: 90.00 90.00 90.00
Space group Cmmm (No. 65)
Unique sites:
Tl  0.0000  0.0000  0.0000
Tl  0.2500  0.2500  0.5000
Au  0.0000  0.5000  0.0000

- total moment (μB/f.u.) = 0.0
- ΔH_f (0 K) (eV/atom) = 0.06
- DOS(E_F) (states/eV/f.u.) = 1.9

---

Computed, not measured: a geometry-optimized Tl3Au structure at the PBE level of DFT.

abc: 3.8075 3.8075 27.8601
angles: 90.00 90.00 120.00
Space group R-3m (No. 166, hexagonal axes)
Unique sites:
Tl  0.0000  0.0000  0.0000
Tl  0.0000  0.0000  0.2373
Au  0.0000  0.0000  0.5000

- total moment (μB/f.u.) = 0.0
- ΔH_f (0 K) (eV/atom) = 0.00
- DOS(E_F) (states/eV/f.u.) = 1.6

---

Computed, not measured: a geometry-optimized Tl3Au structure at the PBE level of DFT.

abc: 3.4265 3.4265 9.3784
angles: 90.00 90.00 90.00
Space group P4/mmm (No. 123)
Unique sites:
Tl  0.0000  0.0000  0.0000
Tl  0.5000  0.5000  0.2913
Au  0.0000  0.0000  0.5000

- total moment (μB/f.u.) = 0.0
- ΔH_f (0 K) (eV/atom) = 0.01
- DOS(E_F) (states/eV/f.u.) = 2.7

---

Computed, not measured: a geometry-optimized Tl5Au structure at the PBE level of DFT.

abc: 5.7832 5.7832 5.9365
angles: 90.00 90.00 120.00
Space group P-62m (No. 189)
Unique sites:
Tl  0.0000  0.6760  0.0000
Tl  0.3333  0.6667  0.5000
Au  0.0000  0.0000  0.5000

- total moment (μB/f.u.) = 0.0
- ΔH_f (0 K) (eV/atom) = 0.05
- DOS(E_F) (states/eV/f.u.) = 3.1

---

Computed, not measured: a geometry-optimized TlAu11 structure at the PBE level of DFT.

abc: 9.4963 9.4963 2.9364
angles: 90.00 90.00 120.00
Space group P6/mmm (No. 191)
Unique sites:
Tl  0.0000  0.0000  0.0000
Au  0.0000  0.5000  0.0000
Au  0.1768  0.3535  0.5000
Au  0.3333  0.6667  0.0000

- total moment (μB/f.u.) = 0.0
- ΔH_f (0 K) (eV/atom) = 0.07
- DOS(E_F) (states/eV/f.u.) = 3.4

---

Computed, not measured: a geometry-optimized Tl2Au structure at the PBE level of DFT.

abc: 5.1979 5.1979 6.7155
angles: 90.00 90.00 120.00
Space group P6_3/mmc (No. 194)
Unique sites:
Tl  0.0000  0.0000  0.0000
Tl  0.3333  0.6667  0.2500
Au  0.3333  0.6667  0.7500

- total moment (μB/f.u.) = 0.0
- ΔH_f (0 K) (eV/atom) = 0.01
- DOS(E_F) (states/eV/f.u.) = 0.8